Record 1
Compound: Ca2CoHg
Source: Alexandria
Functional: PBE
Structure: optimized geometry

```
4
Lattice="4.418 0.000 0.000 0.000 4.221 0.008 0.000 2.097 5.515" Properties=species:S:1:pos:R:3 pbc="T T T"
Ca 0.000 6.056 5.055
Ca 2.209 1.842 1.848
Co 0.000 3.951 2.741
Hg 2.209 3.947 4.164
```

Summary:
Crystal system: orthorhombic
Density (g/cm³): 5.49
E_form (eV/atom): -0.051
Electronic total energy (eV per atom): -2.90
Size of the total moment (Bohr magnetons per cell): 0.8

***

Record 2
Compound: CaCo2Hg2
Source: Alexandria
Functional: PBE
Structure: optimized geometry

```
10
Lattice="-2.740 -0.541 6.925 -6.748 -1.557 -2.792 0.736 -3.256 0.037" Properties=species:S:1:pos:R:3 pbc="T T T"
Ca 0.000 0.000 0.000
Ca -4.744 -1.049 2.066
Co -7.091 -1.601 0.223
Co -6.548 -1.430 4.477
Co -2.397 -0.498 3.910
Co -2.940 -0.669 -0.344
Hg -4.719 -2.786 -0.631
Hg -7.026 -3.272 2.444
Hg -4.032 -2.568 4.801
Hg -1.726 -2.082 1.726
```

Summary:
Excess energy over the best structure of this formula in the dataset (eV per atom): 0.029
Crystal system: tetragonal
Density (g/cm³): 9.98
E_form (eV/atom): 0.195
Electronic total energy (eV per atom): -3.17
Size of the total moment (Bohr magnetons per cell): 5.1

***

Among the records above, which one has the highest electronic total energy? Ca2CoHg